#P
{
  "formula": "BaMo2O8",
  "functional": "PBE+U",
  "state": "relaxed",
  "spacegroup": "P4/mmm",
  "lattice": [[4.808, 0.000, 0.000], [0.000, 4.808, 0.000], [0.000, 0.000, 6.612]],
  "species": ["Ba", "Mo", "Mo", "O", "O", "O", "O", "O", "O", "O", "O"],
  "frac_coords": [[0.000, 0.000, 0.000], [0.000, 0.500, 0.500], [0.500, 0.000, 0.500], [0.251, 0.251, 0.322], [0.251, 0.251, 0.678], [0.251, 0.749, 0.322], [0.251, 0.749, 0.678], [0.749, 0.251, 0.322], [0.749, 0.251, 0.678], [0.749, 0.749, 0.322], [0.749, 0.749, 0.678]]
}


#Q
{
  "formula": "BaMo2O8",
  "functional": "PBE+U",
  "state": "relaxed",
  "spacegroup": "C2/m",
  "lattice": [[5.855, -2.068, 0.000], [5.855, 2.068, 0.000], [-1.711, 0.000, 7.262]],
  "species": ["Ba", "Mo", "Mo", "O", "O", "O", "O", "O", "O", "O", "O"],
  "frac_coords": [[0.000, 0.000, 0.000], [0.227, 0.227, 0.667], [0.773, 0.773, 0.333], [0.147, 0.616, 0.260], [0.213, 0.213, 0.404], [0.359, 0.359, 0.841], [0.384, 0.853, 0.740], [0.616, 0.147, 0.260], [0.641, 0.641, 0.159], [0.787, 0.787, 0.596], [0.853, 0.384, 0.740]]
}


Most stable to least stable, the ends of the list are #Q and #P.


#P
{
  "formula": "Ba2MoO5",
  "functional": "PBE+U",
  "state": "relaxed",
  "spacegroup": "P1",
  "lattice": [[4.471, 0.000, 0.000], [-0.033, 11.901, 0.000], [-0.047, -0.001, 12.264]],
  "species": ["Ba", "Ba", "Ba", "Ba", "Ba", "Ba", "Ba", "Ba", "Mo", "Mo", "Mo", "Mo", "O", "O", "O", "O", "O", "O", "O", "O", "O", "O", "O", "O", "O", "O", "O", "O", "O", "O", "O", "O"],
  "frac_coords": [[0.000, 0.000, 0.000], [0.003, 0.027, 0.353], [0.008, 0.527, 0.282], [0.019, 0.500, 0.634], [0.506, 0.230, 0.133], [0.518, 0.703, 0.852], [0.520, 0.203, 0.781], [0.531, 0.730, 0.500], [0.102, 0.932, 0.693], [0.425, 0.797, 0.193], [0.428, 0.298, 0.441], [0.936, 0.432, 0.941], [0.006, 0.890, 0.556], [0.010, 0.836, 0.804], [0.012, 0.119, 0.174], [0.019, 0.577, 0.907], [0.020, 0.077, 0.727], [0.025, 0.619, 0.460], [0.026, 0.803, 0.194], [0.028, 0.336, 0.830], [0.030, 0.304, 0.440], [0.032, 0.391, 0.078], [0.501, 0.926, 0.694], [0.508, 0.153, 0.407], [0.509, 0.111, 0.960], [0.510, 0.653, 0.227], [0.516, 0.894, 0.304], [0.519, 0.840, 0.056], [0.520, 0.394, 0.330], [0.521, 0.611, 0.674], [0.526, 0.340, 0.578], [0.538, 0.426, 0.940]]
}


#Q
{
  "formula": "Ba2MoO5",
  "functional": "PBE+U",
  "state": "relaxed",
  "spacegroup": "I4mm",
  "lattice": [[-3.130, 3.130, 3.983], [3.130, -3.130, 3.983], [3.130, 3.130, -3.983]],
  "species": ["Ba", "Ba", "Mo", "O", "O", "O", "O", "O"],
  "frac_coords": [[0.000, 0.500, 0.500], [0.500, 0.000, 0.500], [0.255, 0.255, 0.000], [0.031, 0.031, 0.000], [0.107, 0.107, 0.582], [0.107, 0.525, 0.000], [0.525, 0.107, 0.000], [0.525, 0.525, 0.418]]
}


Most stable to least stable, the ends of the list are #P and #Q.


#P
{
  "formula": "BaMoP2O",
  "functional": "PBE+U",
  "state": "relaxed",
  "spacegroup": "P4/mmm",
  "lattice": [[4.952, 0.000, 0.000], [0.000, 4.952, 0.000], [0.000, 0.000, 4.037]],
  "species": ["Ba", "Mo", "P", "P", "O"],
  "frac_coords": [[0.000, 0.000, 0.000], [0.500, 0.500, 0.500], [0.000, 0.500, 0.500], [0.500, 0.000, 0.500], [0.500, 0.500, 0.000]]
}


#Q
{
  "formula": "BaMoP2O",
  "functional": "PBE+U",
  "state": "relaxed",
  "spacegroup": "P4/mmm",
  "lattice": [[5.515, 0.000, 0.000], [0.000, 5.515, 0.000], [0.000, 0.000, 4.302]],
  "species": ["Ba", "Mo", "P", "P", "O"],
  "frac_coords": [[0.000, 0.000, 0.000], [0.500, 0.500, 0.500], [0.000, 0.500, 0.000], [0.500, 0.000, 0.000], [0.000, 0.000, 0.500]]
}


Most stable to least stable, the ends of the list are #P and #Q.


#P
{
  "formula": "BaMoPO2",
  "functional": "PBE+U",
  "state": "relaxed",
  "spacegroup": "P4/mmm",
  "lattice": [[4.359, 0.000, 0.000], [0.000, 4.359, 0.000], [0.000, 0.000, 6.930]],
  "species": ["Ba", "Mo", "P", "O", "O"],
  "frac_coords": [[0.000, 0.000, 0.000], [0.500, 0.500, 0.500], [0.000, 0.000, 0.500], [0.000, 0.500, 0.000], [0.500, 0.000, 0.000]]
}


#Q
{
  "formula": "BaMoPO2",
  "functional": "PBE+U",
  "state": "relaxed",
  "spacegroup": "P4/mmm",
  "lattice": [[4.224, 0.000, 0.000], [0.000, 4.224, 0.000], [0.000, 0.000, 4.924]],
  "species": ["Ba", "Mo", "P", "O", "O"],
  "frac_coords": [[0.000, 0.000, 0.000], [0.500, 0.500, 0.500], [0.500, 0.500, 0.000], [0.000, 0.500, 0.500], [0.500, 0.000, 0.500]]
}


Most stable to least stable, the ends of the list are #Q and #P.